# 1
# UAl4Co (PBE, relaxed)
# - Space group: No. 12
data_UAl4Co
_cell_length_a 4.8032
_cell_length_b 6.2484
_cell_length_c 8.1314
_cell_angle_alpha 112.59
_cell_angle_beta 107.15
_cell_angle_gamma 90.00
_symmetry_space_group_name_H-M 'P 1'
_symmetry_Int_Tables_number 1
loop_
_symmetry_equiv_pos_as_xyz
'x,y,z'
loop_
_atom_site_label
_atom_site_type_symbol
_atom_site_fract_x
_atom_site_fract_y
_atom_site_fract_z
U1 U 0.7896 0.7892 0.5785
U2 U 0.2104 0.2108 0.4215
Co1 Co 0.7346 0.5004 0.0008
Co2 Co 0.2654 0.4996 0.9992
Al1 Al 0.8499 0.3508 0.7015
Al2 Al 0.1501 0.6492 0.2985
Al3 Al 0.6052 0.8732 0.2115
Al4 Al 0.3948 0.1268 0.7885
Al5 Al 0.0000 0.1923 0.0000
Al6 Al 0.0000 0.8077 0.0000
Al7 Al 0.6052 0.3383 0.2115
Al8 Al 0.3948 0.6617 0.7885


# 2
# UAl8Co2 (PBE, relaxed)
# - Space group: No. 12
data_UAl8Co2
_cell_length_a 4.5740
_cell_length_b 6.5790
_cell_length_c 6.5790
_cell_angle_alpha 105.23
_cell_angle_beta 97.62
_cell_angle_gamma 97.62
_symmetry_space_group_name_H-M 'P 1'
_symmetry_Int_Tables_number 1
loop_
_symmetry_equiv_pos_as_xyz
'x,y,z'
loop_
_atom_site_label
_atom_site_type_symbol
_atom_site_fract_x
_atom_site_fract_y
_atom_site_fract_z
Co1 Co 0.0000 0.7060 0.2940
Co2 Co 0.0000 0.2940 0.7060
U1 U 0.5000 0.0000 0.0000
Al1 Al 0.0953 0.0872 0.3461
Al2 Al 0.5000 0.2810 0.7190
Al3 Al 0.9047 0.6539 0.9128
Al4 Al 0.9047 0.9128 0.6539
Al5 Al 0.7257 0.3925 0.3925
Al6 Al 0.0953 0.3461 0.0872
Al7 Al 0.2743 0.6075 0.6075
Al8 Al 0.5000 0.7190 0.2810


# 3
# U3Al12Co4 (PBE, relaxed)
# - Space group: No. 194
data_U3Al12Co4
_cell_length_a 8.6123
_cell_length_b 8.6123
_cell_length_c 9.3282
_cell_angle_alpha 90.00
_cell_angle_beta 90.00
_cell_angle_gamma 120.00
_symmetry_space_group_name_H-M 'P 1'
_symmetry_Int_Tables_number 1
loop_
_symmetry_equiv_pos_as_xyz
'x,y,z'
loop_
_atom_site_label
_atom_site_type_symbol
_atom_site_fract_x
_atom_site_fract_y
_atom_site_fract_z
Al1 Al 0.1194 0.5597 0.7500
Al2 Al 0.0000 0.0000 0.7500
Al3 Al 0.8806 0.4403 0.2500
Al4 Al 0.1594 0.8406 0.9212
Al5 Al 0.4403 0.8806 0.7500
Al6 Al 0.8406 0.1594 0.4212
Al7 Al 0.8406 0.6813 0.0788
Al8 Al 0.3187 0.1594 0.4212
Al9 Al 0.6667 0.3333 0.5044
Al10 Al 0.0000 0.0000 0.2500
Al11 Al 0.8406 0.1594 0.0788
Al12 Al 0.3333 0.6667 0.0044
Al13 Al 0.5597 0.1194 0.2500
Al14 Al 0.1594 0.3187 0.5788
Al15 Al 0.3333 0.6667 0.4956
Al16 Al 0.4403 0.5597 0.7500
Al17 Al 0.1594 0.8406 0.5788
Al18 Al 0.8406 0.6813 0.4212
Al19 Al 0.3187 0.1594 0.0788
Al20 Al 0.5597 0.4403 0.2500
Al21 Al 0.6813 0.8406 0.5788
Al22 Al 0.6813 0.8406 0.9212
Al23 Al 0.1594 0.3187 0.9212
Al24 Al 0.6667 0.3333 0.9956
U1 U 0.4152 0.2076 0.7500
U2 U 0.7924 0.5848 0.7500
U3 U 0.5848 0.7924 0.2500
U4 U 0.2076 0.7924 0.2500
U5 U 0.7924 0.2076 0.7500
U6 U 0.2076 0.4152 0.2500
Co1 Co 0.0000 0.5000 0.0000
Co2 Co 0.0000 0.5000 0.5000
Co3 Co 0.0000 0.0000 0.5000
Co4 Co 0.5000 0.5000 0.5000
Co5 Co 0.0000 0.0000 0.0000
Co6 Co 0.5000 0.5000 0.0000
Co7 Co 0.5000 0.0000 0.5000
Co8 Co 0.5000 0.0000 0.0000


# 4
# U2AlCo3 (PBE, relaxed)
# - Space group: No. 194
data_U2AlCo3
_cell_length_a 5.1399
_cell_length_b 5.1399
_cell_length_c 7.6451
_cell_angle_alpha 90.00
_cell_angle_beta 90.00
_cell_angle_gamma 120.00
_symmetry_space_group_name_H-M 'P 1'
_symmetry_Int_Tables_number 1
loop_
_symmetry_equiv_pos_as_xyz
'x,y,z'
loop_
_atom_site_label
_atom_site_type_symbol
_atom_site_fract_x
_atom_site_fract_y
_atom_site_fract_z
U1 U 0.6667 0.3333 0.5718
U2 U 0.6667 0.3333 0.9282
U3 U 0.3333 0.6667 0.0718
U4 U 0.3333 0.6667 0.4282
Co1 Co 0.3403 0.1702 0.2500
Co2 Co 0.8298 0.6597 0.2500
Co3 Co 0.1702 0.8298 0.7500
Co4 Co 0.8298 0.1702 0.2500
Co5 Co 0.1702 0.3403 0.7500
Co6 Co 0.6597 0.8298 0.7500
Al1 Al 0.0000 0.0000 0.0000
Al2 Al 0.0000 0.0000 0.5000


# 5
# UAlCo6 (PBE, relaxed)
# - Space group: No. 123
data_UAlCo6
_cell_length_a 3.7047
_cell_length_b 5.1434
_cell_length_c 5.1434
_cell_angle_alpha 89.99
_cell_angle_beta 90.00
_cell_angle_gamma 90.00
_symmetry_space_group_name_H-M 'P 1'
_symmetry_Int_Tables_number 1
loop_
_symmetry_equiv_pos_as_xyz
'x,y,z'
loop_
_atom_site_label
_atom_site_type_symbol
_atom_site_fract_x
_atom_site_fract_y
_atom_site_fract_z
Co1 Co 0.0000 0.7426 0.2574
Co2 Co 0.0000 0.7426 0.7426
Co3 Co 0.0000 0.2574 0.2574
Co4 Co 0.0000 0.2574 0.7426
Co5 Co 0.5000 0.0000 0.5000
Co6 Co 0.5000 0.5000 0.0000
U1 U 0.5000 0.0000 0.0000
Al1 Al 0.5000 0.5000 0.5000


# 6
# Al2VCo (PBE, relaxed)
# - Space group: No. 123
data_Al2VCo
_cell_length_a 3.6157
_cell_length_b 3.8172
_cell_length_c 3.8172
_cell_angle_alpha 90.00
_cell_angle_beta 90.00
_cell_angle_gamma 90.00
_symmetry_space_group_name_H-M 'P 1'
_symmetry_Int_Tables_number 1
loop_
_symmetry_equiv_pos_as_xyz
'x,y,z'
loop_
_atom_site_label
_atom_site_type_symbol
_atom_site_fract_x
_atom_site_fract_y
_atom_site_fract_z
Al1 Al 0.0000 0.5000 0.0000
Al2 Al 0.0000 0.0000 0.5000
Co1 Co 0.5000 0.5000 0.5000
V1 V 0.5000 0.0000 0.0000


# 7
# Al2VCo (PBE, relaxed)
# - Space group: No. 166
data_Al2VCo
_cell_length_a 2.7029
_cell_length_b 2.7029
_cell_length_c 9.3167
_cell_angle_alpha 81.66
_cell_angle_beta 81.66
_cell_angle_gamma 60.00
_symmetry_space_group_name_H-M 'P 1'
_symmetry_Int_Tables_number 1
loop_
_symmetry_equiv_pos_as_xyz
'x,y,z'
loop_
_atom_site_label
_atom_site_type_symbol
_atom_site_fract_x
_atom_site_fract_y
_atom_site_fract_z
Co1 Co 0.0000 0.0000 0.0000
Al1 Al 0.0879 0.0879 0.7363
Al2 Al 0.9121 0.9121 0.2637
V1 V 0.5000 0.5000 0.5000


# 8
# Al2V2Co (PBE, relaxed)
# - Space group: No. 127
data_Al2V2Co
_cell_length_a 6.0556
_cell_length_b 6.0556
_cell_length_c 3.8099
_cell_angle_alpha 90.00
_cell_angle_beta 90.00
_cell_angle_gamma 90.00
_symmetry_space_group_name_H-M 'P 1'
_symmetry_Int_Tables_number 1
loop_
_symmetry_equiv_pos_as_xyz
'x,y,z'
loop_
_atom_site_label
_atom_site_type_symbol
_atom_site_fract_x
_atom_site_fract_y
_atom_site_fract_z
Al1 Al 0.6487 0.1487 0.0000
Al2 Al 0.3513 0.8513 0.0000
Al3 Al 0.1487 0.3513 0.0000
Al4 Al 0.8513 0.6487 0.0000
V1 V 0.6544 0.8456 0.5000
V2 V 0.8456 0.3456 0.5000
V3 V 0.3456 0.1544 0.5000
V4 V 0.1544 0.6544 0.5000
Co1 Co 0.0000 0.0000 0.0000
Co2 Co 0.5000 0.5000 0.0000


E for the records above, in order: -5.673 -5.190 -5.969 -8.267 -7.431 -6.206 -5.740 -6.575 eV/atom